Record 1
KMo2S | GGA-PBE | optimized geometry

Output
Formation energy without anion corrections = 0.80 eV per atom

Cell lengths 4.718, 4.718, 17.745 Å; angles 90.00, 90.00, 90.00 degrees
Space group I-42d (No. 122)
One atom of each set of equivalent atoms:
1 K 0.000 0.000 0.000 x4
2 Mo 0.029 0.750 0.625 x8
3 S 0.000 0.000 0.500 x4


Record 2
KErPaO6 | GGA-PBE | optimized geometry

Output
Formation energy without anion corrections = -2.31 eV per atom

Cell lengths 6.1512, 6.1512, 4.7648 Å; angles 90.00, 90.00, 120.00 degrees
Space group P312 (No. 149)
One atom of each set of equivalent atoms:
1 K 0.0000 0.0000 0.0000 x1
2 Er 0.3333 0.6667 0.0000 x1
3 Pa 0.6667 0.3333 0.5000 x1
4 O 0.4142 0.0095 0.2466 x6


Record 3
Sc4PtW | GGA-PBE | optimized geometry

Output
DFT formation energy = 0.41 eV/atom

Cell lengths 7.720, 7.720, 7.720 Å; angles 90.00, 90.00, 90.00 degrees
Space group F-43m (No. 216)
One atom of each set of equivalent atoms:
1 Sc 0.125 0.125 0.125 x16
2 Pt 0.000 0.000 0.500 x4
3 W 0.250 0.250 0.750 x4


Record 4
Li3TlV | GGA-PBE | optimized geometry

Output
DFT formation energy = 0.72 eV/atom

Cell lengths 4.941, 4.941, 4.941 Å; angles 90.00, 90.00, 90.00 degrees
Space group Pm-3m (No. 221)
One atom of each set of equivalent atoms:
1 Li 0.000 0.000 0.500 x3
2 Tl 0.000 0.000 0.000 x1
3 V 0.500 0.500 0.500 x1


Record 5
NdDy6Sc3 | GGA-PBE | optimized geometry

Output
DFT formation energy = 0.19 eV/atom

Cell lengths 9.6211, 9.6211, 11.3190 Å; angles 90.00, 90.00, 120.00 degrees
Space group R32 (No. 155, hexagonal axes)
One atom of each set of equivalent atoms:
1 Nd 0.0000 0.0000 0.0000 x3
2 Dy 0.0000 0.3407 0.0000 x9
3 Dy 0.0000 0.6649 0.5000 x9
4 Sc 0.0000 0.0000 0.2605 x6
5 Sc 0.0000 0.0000 0.5000 x3


Record 6
CsPd2Au2 | GGA-PBE | optimized geometry

Output
DFT formation energy = 0.12 eV/atom

Cell lengths 8.390, 8.390, 3.076 Å; angles 90.00, 90.00, 90.00 degrees
Space group P4/mbm (No. 127)
One atom of each set of equivalent atoms:
1 Cs 0.000 0.000 0.000 x2
2 Pd 0.165 0.335 0.500 x4
3 Au 0.126 0.626 0.000 x4


Record 7
Na3Ga2P3 | GGA-PBE | optimized geometry

Output
DFT formation energy = -0.40 eV/atom

Cell lengths 6.922, 13.482, 7.263 Å; angles 90.00, 90.00, 90.00 degrees
Space group Pnma (No. 62)
One atom of each set of equivalent atoms:
1 Na 0.014 0.117 0.186 x8
2 Na 0.185 0.750 0.390 x4
3 Ga 0.140 0.089 0.611 x8
4 P 0.203 0.550 0.400 x8
5 P 0.226 0.250 0.482 x4


Record 8
KCa2AuCl | GGA-PBE | optimized geometry

Output
Formation energy without anion corrections = 0.16 eV per atom

Cell lengths 6.535, 6.535, 5.264 Å; angles 90.00, 90.00, 90.00 degrees
Space group P4/mmm (No. 123)
One atom of each set of equivalent atoms:
1 K 0.000 0.000 0.000 x1
2 Ca 0.000 0.500 0.000 x2
3 Au 0.500 0.500 0.500 x1
4 Cl 0.000 0.000 0.500 x1


no.,size of the total moment (μB per atom)
1,0.0000
2,0.3358
3,0.0000
4,0.6845
5,0.0899
6,0.0000
7,0.0000
8,0.0000